{
  "formula": "Pm2Sm2Y2Er",
  "functional": "PBE-GGA",
  "state": "optimized geometry",
  "lattice": [[5.7232, 0.0000, 0.0000], [2.8616, 4.9565, 0.0000], [2.8616, 1.6522, 8.2360]],
  "species": ["Er", "Y", "Y", "Pm", "Pm", "Sm", "Sm"],
  "frac_coords": [[0.0000, 0.0000, 0.0000], [0.4287, 0.4287, 0.7138], [0.5713, 0.5713, 0.2862], [0.1394, 0.1394, 0.5817], [0.8606, 0.8606, 0.4183], [0.7141, 0.7141, 0.8577], [0.2859, 0.2859, 0.1423]],
  "crystal_system": "trigonal"
}

{
  "formula": "Pm2SmYEr2",
  "functional": "PBE-GGA",
  "state": "optimized geometry",
  "lattice": [[3.5012, 0.0000, 0.0000], [0.0000, 16.3792, 0.0000], [0.0000, 0.0000, 6.9892]],
  "species": ["Er", "Er", "Er", "Er", "Pm", "Pm", "Pm", "Pm", "Sm", "Sm", "Y", "Y"],
  "frac_coords": [[0.5000, 0.1534, 0.2524], [0.0000, 0.3466, 0.7524], [0.5000, 0.8466, 0.7476], [0.0000, 0.6534, 0.2476], [0.5000, 0.8393, 0.2479], [0.0000, 0.3393, 0.2521], [0.5000, 0.1607, 0.7521], [0.0000, 0.6607, 0.7479], [0.0000, 0.0000, 0.5000], [0.5000, 0.5000, 0.0000], [0.5000, 0.5000, 0.5000], [0.0000, 0.0000, 0.0000]],
  "crystal_system": "orthorhombic"
}

{
  "formula": "Pm2Sm3YEr6",
  "functional": "PBE-GGA",
  "state": "optimized geometry",
  "lattice": [[6.1842, 0.0004, 0.0044], [-3.0902, 5.3568, 0.0044], [-1.0348, -1.7917, 11.5752]],
  "species": ["Pm", "Pm", "Sm", "Sm", "Sm", "Er", "Er", "Er", "Er", "Er", "Er", "Y"],
  "frac_coords": [[0.6666, 0.3334, 0.0000], [0.3334, 0.6666, 0.0000], [0.8335, 0.1665, 0.5000], [0.5000, 0.5000, 0.5000], [0.1665, 0.8335, 0.5000], [0.7503, 0.7503, 0.2504], [0.0837, 0.4173, 0.2501], [0.5827, 0.9163, 0.7499], [0.4173, 0.0837, 0.2501], [0.9163, 0.5827, 0.7499], [0.2497, 0.2497, 0.7496], [0.0000, 0.0000, 0.0000]],
  "crystal_system": "monoclinic"
}

{
  "formula": "Pm2Sm2YEr",
  "functional": "PBE-GGA",
  "state": "optimized geometry",
  "lattice": [[-1.4714, 1.1528, 5.3677], [-5.7146, -4.1246, -0.6806], [5.2284, -7.7552, 3.0987]],
  "species": ["Y", "Y", "Pm", "Pm", "Pm", "Pm", "Sm", "Sm", "Sm", "Sm", "Er", "Er"],
  "frac_coords": [[0.0000, 0.5076, 0.5000], [0.0000, 0.0076, 0.5000], [0.0000, 0.7576, 0.1600], [0.5000, 0.2576, 0.3284], [0.0000, 0.2576, 0.8400], [0.5000, 0.7576, 0.6716], [0.0000, 0.7577, 0.8238], [0.5000, 0.5076, 0.9999], [0.5000, 0.0076, 0.0001], [0.0000, 0.2577, 0.1762], [0.5000, 0.7575, 0.3404], [0.5000, 0.2575, 0.6596]],
  "crystal_system": "orthorhombic"
}

{
  "formula": "PmSm6Y3Er2",
  "functional": "PBE-GGA",
  "state": "optimized geometry",
  "lattice": [[6.2350, 0.0002, 0.0108], [-3.1158, 5.4006, 0.0108], [-1.0563, -1.8290, 11.6858]],
  "species": ["Sm", "Sm", "Sm", "Sm", "Sm", "Sm", "Y", "Y", "Y", "Pm", "Er", "Er"],
  "frac_coords": [[0.2505, 0.2505, 0.7505], [0.4176, 0.0836, 0.2496], [0.5824, 0.9164, 0.7504], [0.9164, 0.5824, 0.7504], [0.7495, 0.7495, 0.2495], [0.0836, 0.4176, 0.2496], [0.8330, 0.1670, 0.5000], [0.1670, 0.8330, 0.5000], [0.5000, 0.5000, 0.5000], [0.0000, 0.0000, 0.0000], [0.3334, 0.6666, 0.0000], [0.6666, 0.3334, 0.0000]],
  "crystal_system": "monoclinic"
}

{
  "formula": "PmSm2Y3Er6",
  "functional": "PBE-GGA",
  "state": "optimized geometry",
  "lattice": [[6.1613, 0.0017, 0.0099], [-3.0777, 5.3376, 0.0099], [-1.0430, -1.8060, 11.5719]],
  "species": ["Sm", "Sm", "Er", "Er", "Er", "Er", "Er", "Er", "Y", "Y", "Y", "Pm"],
  "frac_coords": [[0.6667, 0.3333, 0.0000], [0.3333, 0.6667, 0.0000], [0.9154, 0.5819, 0.7486], [0.2488, 0.2488, 0.7486], [0.7512, 0.7512, 0.2514], [0.5819, 0.9154, 0.7486], [0.0846, 0.4181, 0.2514], [0.4181, 0.0846, 0.2514], [0.8333, 0.1667, 0.5000], [0.5000, 0.5000, 0.5000], [0.1667, 0.8333, 0.5000], [0.0000, 0.0000, 0.0000]],
  "crystal_system": "monoclinic"
}

{
  "formula": "Pm6SmY2Er",
  "functional": "PBE-GGA",
  "state": "optimized geometry",
  "lattice": [[9.1505, -1.9357, -2.0088], [0.8750, 8.6799, -1.9885], [0.8750, -2.3088, 8.6002]],
  "species": ["Pm", "Pm", "Pm", "Pm", "Pm", "Pm", "Pm", "Pm", "Pm", "Pm", "Pm", "Pm", "Y", "Y", "Y", "Y", "Er", "Er", "Sm", "Sm"],
  "frac_coords": [[0.8131, 0.4386, 0.9920], [0.6164, 0.4827, 0.7077], [0.5566, 0.7614, 0.1170], [0.3131, 0.9920, 0.4386], [0.3836, 0.5173, 0.2923], [0.8836, 0.2923, 0.5173], [0.0566, 0.1170, 0.7614], [0.6869, 0.0080, 0.5614], [0.1869, 0.5614, 0.0080], [0.9434, 0.8830, 0.2386], [0.4434, 0.2386, 0.8830], [0.1164, 0.7077, 0.4827], [0.5487, 0.2038, 0.3006], [0.9513, 0.6994, 0.7962], [0.4513, 0.7962, 0.6994], [0.0487, 0.3006, 0.2038], [0.7500, 0.5887, 0.4113], [0.2500, 0.4113, 0.5887], [0.7500, 0.0310, 0.9690], [0.2500, 0.9690, 0.0310]],
  "crystal_system": "monoclinic"
}

{
  "formula": "PmSmY5Er2",
  "functional": "PBE-GGA",
  "state": "optimized geometry",
  "lattice": [[-0.1269, 3.8243, -4.1417], [7.2315, -6.9605, -2.8102], [-7.3617, -5.6377, -4.9801]],
  "species": ["Y", "Y", "Y", "Y", "Y", "Y", "Y", "Y", "Y", "Y", "Er", "Er", "Er", "Er", "Sm", "Sm", "Pm", "Pm"],
  "frac_coords": [[0.3874, 0.7748, 0.0245], [0.0166, 0.0332, 0.0234], [0.2789, 0.5579, 0.3170], [0.5223, 0.0445, 0.2361], [0.9834, 0.9668, 0.5234], [0.2992, 0.5985, 0.7069], [0.4777, 0.9555, 0.7361], [0.6126, 0.2252, 0.5245], [0.7008, 0.4015, 0.2069], [0.7211, 0.4421, 0.8170], [0.8889, 0.7778, 0.2351], [0.8871, 0.7743, 0.8196], [0.1111, 0.2222, 0.7351], [0.1129, 0.2257, 0.3196], [0.8027, 0.6054, 0.5141], [0.1973, 0.3946, 0.0141], [0.4152, 0.8304, 0.4472], [0.5848, 0.1696, 0.9472]],
  "crystal_system": "orthorhombic"
}

{
  "formula": "PmSm2YEr5",
  "functional": "PBE-GGA",
  "state": "optimized geometry",
  "lattice": [[-7.1772, -0.0298, 4.9538], [1.9727, -8.0166, 2.8099], [6.5784, 7.0272, 1.8970]],
  "species": ["Sm", "Sm", "Sm", "Sm", "Er", "Er", "Er", "Er", "Er", "Er", "Er", "Er", "Er", "Er", "Pm", "Pm", "Y", "Y"],
  "frac_coords": [[0.8842, 0.6158, 0.0000], [0.3842, 0.8842, 0.0000], [0.6158, 0.1158, 0.0000], [0.1158, 0.3842, 0.0000], [0.9268, 0.4268, 0.2728], [0.0000, 0.0000, 0.0000], [0.0732, 0.5732, 0.7272], [0.5732, 0.6540, 0.7272], [0.3460, 0.8460, 0.2728], [0.8460, 0.9268, 0.2728], [0.4268, 0.3460, 0.2728], [0.5000, 0.5000, 0.0000], [0.1540, 0.0732, 0.7272], [0.6540, 0.1540, 0.7272], [0.7500, 0.7500, 0.5000], [0.2500, 0.2500, 0.5000], [0.7500, 0.2500, 0.5000], [0.2500, 0.7500, 0.5000]],
  "crystal_system": "tetragonal"
}

{
  "formula": "PmSm2YEr2",
  "functional": "PBE-GGA",
  "state": "optimized geometry",
  "lattice": [[-0.2876, 3.1594, 1.2609], [-5.1895, 1.0728, -3.8714], [-10.8857, -6.1360, 12.8918]],
  "species": ["Y", "Y", "Sm", "Sm", "Sm", "Sm", "Er", "Er", "Er", "Er", "Pm", "Pm"],
  "frac_coords": [[0.5000, 0.5000, 0.0000], [0.0000, 0.0000, 0.5000], [0.0000, 0.2269, 0.8134], [0.0000, 0.7731, 0.1866], [0.5000, 0.2731, 0.3134], [0.5000, 0.7269, 0.6866], [0.0000, 0.2757, 0.1472], [0.5000, 0.7757, 0.3528], [0.5000, 0.2243, 0.6472], [0.0000, 0.7243, 0.8528], [0.5000, 0.5000, 0.5000], [0.0000, 0.0000, 0.0000]],
  "crystal_system": "orthorhombic"
}

{
  "formula": "Pm2Sm5YEr",
  "functional": "PBE-GGA",
  "state": "optimized geometry",
  "lattice": [[8.6534, 0.0000, 0.0000], [0.0000, 8.6534, 0.0000], [-4.3267, -4.3267, 8.1274]],
  "species": ["Pm", "Pm", "Pm", "Pm", "Er", "Er", "Sm", "Sm", "Sm", "Sm", "Sm", "Sm", "Sm", "Sm", "Sm", "Sm", "Y", "Y"],
  "frac_coords": [[0.3805, 0.8805, 0.0000], [0.6195, 0.1195, 0.0000], [0.8805, 0.6195, 0.0000], [0.1195, 0.3805, 0.0000], [0.2500, 0.7500, 0.5000], [0.7500, 0.2500, 0.5000], [0.9272, 0.4272, 0.2825], [0.5728, 0.6448, 0.7175], [0.0000, 0.0000, 0.0000], [0.5000, 0.5000, 0.0000], [0.6448, 0.1448, 0.7175], [0.8552, 0.9272, 0.2825], [0.0728, 0.5728, 0.7175], [0.4272, 0.3552, 0.2825], [0.3552, 0.8552, 0.2825], [0.1448, 0.0728, 0.7175], [0.2500, 0.2500, 0.5000], [0.7500, 0.7500, 0.5000]],
  "crystal_system": "tetragonal"
}

{
  "formula": "Pm3SmY6Er2",
  "functional": "PBE-GGA",
  "state": "optimized geometry",
  "lattice": [[6.2116, 0.0010, 0.0051], [-3.1034, 5.3807, 0.0051], [-1.0408, -1.8021, 11.6694]],
  "species": ["Er", "Er", "Pm", "Pm", "Pm", "Y", "Y", "Y", "Y", "Y", "Y", "Sm"],
  "frac_coords": [[0.6667, 0.3333, 0.0000], [0.3333, 0.6667, 0.0000], [0.5000, 0.5000, 0.5000], [0.1668, 0.8332, 0.5000], [0.8332, 0.1668, 0.5000], [0.4167, 0.0829, 0.2476], [0.2512, 0.2512, 0.7524], [0.9171, 0.5833, 0.7524], [0.5833, 0.9171, 0.7524], [0.0829, 0.4167, 0.2476], [0.7488, 0.7488, 0.2476], [0.0000, 0.0000, 0.0000]],
  "crystal_system": "monoclinic"
}

{
  "formula": "PmSm2Y2Er2",
  "functional": "PBE-GGA",
  "state": "optimized geometry",
  "lattice": [[-2.0222, 0.3331, 2.8672], [-1.9276, -5.0189, -2.9425], [5.3637, -9.3386, 4.8679]],
  "species": ["Pm", "Y", "Y", "Er", "Er", "Sm", "Sm"],
  "frac_coords": [[0.0000, 0.0000, 0.5000], [0.5495, 0.0990, 0.2274], [0.4505, 0.9010, 0.7726], [0.7736, 0.5472, 0.3626], [0.2264, 0.4528, 0.6374], [0.6720, 0.3440, 0.9159], [0.3280, 0.6560, 0.0841]],
  "crystal_system": "monoclinic"
}

{
  "formula": "Pm2SmY6Er2",
  "functional": "PBE-GGA",
  "state": "optimized geometry",
  "lattice": [[6.6148, -0.6070, -0.4979], [-3.7971, 5.4503, -0.4979], [-1.8774, -3.2270, 11.4873]],
  "species": ["Y", "Y", "Y", "Y", "Y", "Y", "Pm", "Pm", "Er", "Er", "Sm"],
  "frac_coords": [[0.4431, 0.1354, 0.7889], [0.7088, 0.7088, 0.7084], [0.8646, 0.5569, 0.2111], [0.1354, 0.4431, 0.7889], [0.5569, 0.8646, 0.2111], [0.2912, 0.2912, 0.2916], [0.8650, 0.1350, 0.0000], [0.1350, 0.8650, 0.0000], [0.7031, 0.2969, 0.5000], [0.2969, 0.7031, 0.5000], [0.0000, 0.0000, 0.5000]],
  "crystal_system": "orthorhombic"
}

{
  "formula": "PmSm2Y2Er",
  "functional": "PBE-GGA",
  "state": "optimized geometry",
  "lattice": [[-2.9451, 1.9918, -0.2316], [-3.3490, -4.7202, 1.9924], [2.4200, 5.5911, 17.3137]],
  "species": ["Y", "Y", "Y", "Y", "Pm", "Pm", "Er", "Er", "Sm", "Sm", "Sm", "Sm"],
  "frac_coords": [[0.5000, 0.8382, 0.3410], [0.5000, 0.1618, 0.6590], [0.0000, 0.3382, 0.1590], [0.0000, 0.6618, 0.8410], [0.5000, 0.5000, 0.0000], [0.0000, 0.0000, 0.5000], [0.0000, 0.0000, 0.0000], [0.5000, 0.5000, 0.5000], [0.5000, 0.8369, 0.1541], [0.5000, 0.1631, 0.8459], [0.0000, 0.3369, 0.3459], [0.0000, 0.6631, 0.6541]],
  "crystal_system": "orthorhombic"
}

{
  "formula": "Pm2Sm6Y3Er",
  "functional": "PBE-GGA",
  "state": "optimized geometry",
  "lattice": [[-2.8726, -5.5064, -0.7253], [5.1004, 0.4145, 3.5934], [-7.5032, 3.9907, 8.3809]],
  "species": ["Y", "Y", "Y", "Sm", "Sm", "Sm", "Sm", "Sm", "Sm", "Er", "Pm", "Pm"],
  "frac_coords": [[0.1664, 0.8336, 0.5000], [0.8336, 0.1664, 0.5000], [0.5000, 0.5000, 0.5000], [0.4161, 0.0838, 0.2509], [0.5839, 0.9162, 0.7491], [0.9162, 0.5839, 0.7491], [0.7514, 0.7514, 0.2511], [0.0838, 0.4161, 0.2509], [0.2486, 0.2486, 0.7489], [0.0000, 0.0000, 0.0000], [0.3333, 0.6667, 0.0000], [0.6667, 0.3333, 0.0000]],
  "crystal_system": "monoclinic"
}

{
  "formula": "PmSm2Y5Er",
  "functional": "PBE-GGA",
  "state": "optimized geometry",
  "lattice": [[-2.3845, 8.1332, -2.2844], [-6.6760, -3.2687, -4.6691], [-0.0052, -2.0214, 9.6739]],
  "species": ["Y", "Y", "Y", "Y", "Y", "Y", "Y", "Y", "Y", "Y", "Pm", "Pm", "Sm", "Sm", "Sm", "Sm", "Er", "Er"],
  "frac_coords": [[0.3447, 0.8447, 0.2730], [0.0718, 0.5718, 0.7270], [0.8447, 0.9282, 0.2730], [0.4282, 0.3447, 0.2730], [0.6553, 0.1553, 0.7270], [0.0000, 0.0000, 0.0000], [0.1553, 0.0718, 0.7270], [0.9282, 0.4282, 0.2730], [0.5000, 0.5000, 0.0000], [0.5718, 0.6553, 0.7270], [0.7500, 0.7500, 0.5000], [0.2500, 0.2500, 0.5000], [0.6157, 0.1157, 0.0000], [0.3843, 0.8843, 0.0000], [0.1157, 0.3843, 0.0000], [0.8843, 0.6157, 0.0000], [0.2500, 0.7500, 0.5000], [0.7500, 0.2500, 0.5000]],
  "crystal_system": "tetragonal"
}

{
  "formula": "PmSm3Y6Er2",
  "functional": "PBE-GGA",
  "state": "optimized geometry",
  "lattice": [[-2.0485, 4.9765, 3.0840], [-3.9538, -3.4193, -3.3390], [-0.1349, -7.1788, 9.4237]],
  "species": ["Y", "Y", "Y", "Y", "Y", "Y", "Pm", "Sm", "Sm", "Sm", "Er", "Er"],
  "frac_coords": [[0.5829, 0.9168, 0.7517], [0.2509, 0.2509, 0.7517], [0.7491, 0.7491, 0.2483], [0.9168, 0.5829, 0.7517], [0.0832, 0.4171, 0.2483], [0.4171, 0.0832, 0.2483], [0.0000, 0.0000, 0.0000], [0.5000, 0.5000, 0.5000], [0.8330, 0.1670, 0.5000], [0.1670, 0.8330, 0.5000], [0.6667, 0.3333, 0.0000], [0.3333, 0.6667, 0.0000]],
  "crystal_system": "monoclinic"
}

{
  "formula": "PmSmYEr3",
  "functional": "PBE-GGA",
  "state": "optimized geometry",
  "lattice": [[5.8676, 0.0000, 0.0000], [-2.9338, 5.6096, 0.0000], [0.0000, 0.0000, 11.7468]],
  "species": ["Er", "Er", "Er", "Er", "Er", "Er", "Y", "Y", "Sm", "Sm", "Pm", "Pm"],
  "frac_coords": [[0.6714, 0.3429, 0.0038], [0.6714, 0.3429, 0.4962], [0.3286, 0.6571, 0.9962], [0.8308, 0.6616, 0.2500], [0.3286, 0.6571, 0.5038], [0.1692, 0.3384, 0.7500], [0.8269, 0.6537, 0.7500], [0.1731, 0.3463, 0.2500], [0.0000, 0.0000, 0.5000], [0.0000, 0.0000, 0.0000], [0.5040, 0.0080, 0.7500], [0.4960, 0.9920, 0.2500]],
  "crystal_system": "orthorhombic"
}

{
  "formula": "Pm2SmY4Er2",
  "functional": "PBE-GGA",
  "state": "optimized geometry",
  "lattice": [[3.6162, 0.0000, 0.0000], [-1.8081, 9.3559, -0.4810], [0.0000, -3.7175, 8.8550]],
  "species": ["Sm", "Er", "Er", "Pm", "Pm", "Y", "Y", "Y", "Y"],
  "frac_coords": [[0.0000, 0.0000, 0.0000], [0.3326, 0.6652, 0.9988], [0.6674, 0.3348, 0.0012], [0.1483, 0.2966, 0.6675], [0.8517, 0.7034, 0.3325], [0.1852, 0.3705, 0.3327], [0.8148, 0.6295, 0.6673], [0.4810, 0.9621, 0.6674], [0.5190, 0.0379, 0.3326]],
  "crystal_system": "monoclinic"
}

Computed DOS(E_F) (states/eV per cell) in order:
15.9; 18.8; 14.4; 18.8; 15.1; 16.8; 29.3; 30.8; 21.2; 20.4; 27.0; 16.6; 12.4; 17.8; 18.6; 15.6; 22.0; 16.4; 25.9; 12.3
Computed formation energy from the elements (eV per atom) in order:
0.13; 0.15; 0.02; 0.06; 0.01; 0.02; 0.12; 0.16; 0.27; 0.27; 0.28; 0.02; 0.09; 0.15; 0.10; 0.01; 0.26; 0.02; 0.12; 0.01